Entry 1:
Entry from the Alexandria database: a relaxed PmSmYMg crystal (GGA-PBE). Values from VASP.

The structure in Quantum ESPRESSO input format:
```
&SYSTEM
  ibrav = 0, nat = 4, ntyp = 4
/
ATOMIC_SPECIES
Y 88.91 Y.upf
Mg 24.30 Mg.upf
Sm 150.36 Sm.upf
Pm 145.00 Pm.upf
CELL_PARAMETERS angstrom
-4.788 2.866 0.297
-4.886 -2.713 -0.013
-3.095 -0.204 4.649
ATOMIC_POSITIONS angstrom
Y -9.577 -0.038 3.699
Mg -6.385 -0.026 2.466
Sm -3.192 -0.013 1.233
Pm 0.000 0.000 0.000
```

The value obtained for the polymorph energy (0 for the lowest one) is 0.1039 eV/atom.

=====

Entry 2:
Entry from the Alexandria database: a relaxed Pm2Sm4Y2Mg crystal (GGA-PBE). Values from VASP.

The structure in Quantum ESPRESSO input format:
```
&SYSTEM
  ibrav = 0, nat = 9, ntyp = 4
/
ATOMIC_SPECIES
Pm 145.00 Pm.upf
Sm 150.36 Sm.upf
Y 88.91 Y.upf
Mg 24.30 Mg.upf
CELL_PARAMETERS angstrom
6.262 0.225 -0.341
-1.309 9.998 2.020
-2.801 -3.800 4.118
ATOMIC_POSITIONS angstrom
Pm 5.138 3.488 0.378
Pm -2.986 2.934 5.419
Sm 0.088 4.231 3.949
Sm 3.051 5.575 2.508
Sm 2.063 2.192 1.848
Sm -0.900 0.848 3.289
Y -1.088 7.544 4.641
Y 3.239 -1.122 1.156
Mg 0.000 0.000 0.000
```

As for the total DFT energy (no corrections): -42.54 eV/cell.